(1)
The following is a PBE calculation of a relaxed GaSi2Au crystal, from OQMD.

The structure in CIF format:
```
data_GaSi2Au
_cell_length_a 6.5018
_cell_length_b 6.5018
_cell_length_c 6.5018
_cell_angle_alpha 90.00
_cell_angle_beta 90.00
_cell_angle_gamma 90.00
_space_group_name_H-M_alt 'F -4 3 m'
_space_group_IT_number 216
_space_group_name_Hall 'F -4 2 3'
loop_
_atom_site_label
_atom_site_fract_x
_atom_site_fract_y
_atom_site_fract_z
_atom_site_occupancy
Ga1 0.0000 0.0000 0.0000 1
Si1 0.0000 0.0000 0.5000 1
Si2 0.2500 0.2500 0.7500 1
Au1 0.2500 0.2500 0.2500 1
```

Mass density: 7.80 g/cm³
Raw total energy: -0.1445 Ha/atom

(2)
The following is a PBE calculation of a relaxed Hf2CuRe crystal, from OQMD.

The structure in CIF format:
```
data_Hf2CuRe
_cell_length_a 6.5171
_cell_length_b 6.5171
_cell_length_c 6.5171
_cell_angle_alpha 90.00
_cell_angle_beta 90.00
_cell_angle_gamma 90.00
_space_group_name_H-M_alt 'F m -3 m'
_space_group_IT_number 225
_space_group_name_Hall '-F 4 2 3'
loop_
_atom_site_label
_atom_site_fract_x
_atom_site_fract_y
_atom_site_fract_z
_atom_site_occupancy
Hf1 0.2500 0.2500 0.2500 1
Cu1 0.0000 0.0000 0.0000 1
Re1 0.0000 0.0000 0.5000 1
```

Mass density: 14.56 g/cm³
Formation energy from the elements: -0.28 eV per atom
Raw total energy: -0.3416 Ha/atom
Total moment: 0.0 μB/f.u.

(3)
The following is a PBE calculation of a relaxed TcOsO6 crystal, from OQMD.

The structure in CIF format:
```
data_TcOsO6
_cell_length_a 7.5040
_cell_length_b 7.5040
_cell_length_c 7.5040
_cell_angle_alpha 90.00
_cell_angle_beta 90.00
_cell_angle_gamma 90.00
_space_group_name_H-M_alt 'F m -3 m'
_space_group_IT_number 225
_space_group_name_Hall '-F 4 2 3'
loop_
_atom_site_label
_atom_site_fract_x
_atom_site_fract_y
_atom_site_fract_z
_atom_site_occupancy
Tc1 0.0000 0.0000 0.0000 1
Os1 0.0000 0.0000 0.5000 1
O1 0.0000 0.0000 0.2511 1
```

Mass density: 6.04 g/cm³
Raw total energy: -0.2777 Ha/atom
Total moment: 0.0 μB/f.u.

(4)
The following is a PBE calculation of a relaxed KErSb crystal, from OQMD.

The structure in CIF format:
```
data_KErSb
_cell_length_a 7.4812
_cell_length_b 7.4812
_cell_length_c 7.4812
_cell_angle_alpha 90.00
_cell_angle_beta 90.00
_cell_angle_gamma 90.00
_space_group_name_H-M_alt 'F -4 3 m'
_space_group_IT_number 216
_space_group_name_Hall 'F -4 2 3'
loop_
_atom_site_label
_atom_site_fract_x
_atom_site_fract_y
_atom_site_fract_z
_atom_site_occupancy
K1 0.0000 0.0000 0.0000 1
Er1 0.2500 0.2500 0.2500 1
Sb1 0.0000 0.0000 0.5000 1
```

Mass density: 5.21 g/cm³
Raw total energy: -0.1191 Ha/atom
Total moment: 0.1 μB/f.u.